Record 1
Density functional theory data (PBE-GGA) for Lu2TiAg after structural relaxation.

The crystal system is trigonal. As for the total energy: -18.313 eV for the cell shown. The energy relative to the elements comes out at 369 meV/atom. The calculated density comes out at 8.79 g/cm3. The calculation puts the total magnetization at 2.14 μB/cell.

a = 3.195 Å, b = 3.195 Å, c = 10.963 Å
α = 81.62°, β = 81.62°, γ = 60.00°
Element x y z (fractional)
Ti1 0.000 0.000 0.000
Lu1 0.910 0.910 0.269
Ag1 0.500 0.500 0.500
Lu2 0.090 0.090 0.731



Record 2
Density functional theory data (PBE-GGA) for LuTiAg2 after structural relaxation.

The crystal system is cubic. As for the total energy: -18.282 eV for the cell shown. The energy relative to the elements comes out at -41 meV/atom. The calculated density comes out at 8.99 g/cm3. The calculation puts the total magnetization at 1.54 μB/cell.

a = 4.856 Å, b = 4.856 Å, c = 4.856 Å
α = 60.00°, β = 60.00°, γ = 60.00°
Element x y z (fractional)
Lu1 0.000 0.000 0.000
Ag1 0.250 0.250 0.250
Ti1 0.500 0.500 0.500
Ag2 0.750 0.750 0.750



Record 3
Density functional theory data (PBE-GGA) for LuTiZnAg after structural relaxation.

The crystal system is cubic. As for the total energy: -16.938 eV for the cell shown. The energy relative to the elements comes out at -99 meV/atom. The calculated density comes out at 8.46 g/cm3. The calculation puts the total magnetization at 1.43 μB/cell.

a = 4.790 Å, b = 4.790 Å, c = 4.790 Å
α = 60.00°, β = 60.00°, γ = 60.00°
Element x y z (fractional)
Ti1 0.250 0.250 0.250
Ag1 0.500 0.500 0.500
Zn1 0.000 0.000 0.000
Lu1 0.750 0.750 0.750



Record 4
Density functional theory data (PBE-GGA) for LuTl2Ag after structural relaxation.

The crystal system is cubic. As for the total energy: -12.532 eV for the cell shown. The energy relative to the elements comes out at -107 meV/atom. The calculated density comes out at 11.98 g/cm3. The calculation puts the total magnetization at 0.00 μB/cell.

a = 5.136 Å, b = 5.136 Å, c = 5.136 Å
α = 60.00°, β = 60.00°, γ = 60.00°
Element x y z (fractional)
Ag1 0.500 0.500 0.500
Lu1 0.000 0.000 0.000
Tl1 0.250 0.250 0.250
Tl2 0.750 0.750 0.750



Record 5
Density functional theory data (PBE-GGA) for LuTl2Ag after structural relaxation.

The crystal system is tetragonal. As for the total energy: -12.252 eV for the cell shown. The energy relative to the elements comes out at -37 meV/atom. The calculated density comes out at 11.85 g/cm3. The calculation puts the total magnetization at 0.18 μB/cell.

a = 3.623 Å, b = 3.623 Å, c = 7.380 Å
α = 90.00°, β = 90.00°, γ = 90.00°
Element x y z (fractional)
Tl1 0.000 0.000 0.233
Lu1 0.500 0.500 0.500
Ag1 0.500 0.500 0.000
Tl2 0.000 0.000 0.767



Record 6
Density functional theory data (PBE-GGA) for LuTlAg after structural relaxation.

The crystal system is hexagonal. As for the total energy: -10.411 eV for the cell shown. The energy relative to the elements comes out at -224 meV/atom. The calculated density comes out at 11.61 g/cm3. The calculation puts the total magnetization at 0.00 μB/cell.

a = 3.334 Å, b = 4.913 Å, c = 4.913 Å
α = 120.00°, β = 90.00°, γ = 90.00°
Element x y z (fractional)
Tl1 0.166 0.000 0.000
Ag1 0.167 0.333 0.667
Lu1 0.667 0.667 0.333